BeTc after structural relaxation, computed with PBE.

a b c (Å): 3.2050 3.1000 4.6539
angles (deg): 70.55 90.00 90.00
Fractional coordinates of all 4 atoms:
Tc  0.5000  0.2258  0.1740
Tc  0.0000  0.5242  0.5760
Be  0.0000  0.8050  0.0151
Be  0.5000  0.9450  0.7349

Results
For the formation energy, the calculation gives -238 meV per atom. The total moment comes out at 0.000 Bohr magnetons per cell. For the density of states at the Fermi level, the calculation gives 1.09 states/eV/f.u. The mass density comes out at 8151 kg/m³.

***

Be6Tc7 after structural relaxation, computed with PBE.

a b c (Å): 8.8121 8.8121 8.8121
angles (deg): 32.91 32.91 32.91
Fractional coordinates of all 13 atoms:
Be  0.6661  0.6661  0.6661
Be  0.9388  0.9388  0.9388
Be  0.1554  0.1554  0.1554
Be  0.0612  0.0612  0.0612
Be  0.8446  0.8446  0.8446
Be  0.3339  0.3339  0.3339
Tc  0.5845  0.0770  0.5845
Tc  0.4155  0.4155  0.9230
Tc  0.0770  0.5845  0.5845
Tc  0.9230  0.4155  0.4155
Tc  0.5845  0.5845  0.0770
Tc  0.5000  0.5000  0.5000
Tc  0.4155  0.9230  0.4155

Results
For the formation energy, the calculation gives 407 meV per atom. The total moment comes out at 0.001 Bohr magnetons per cell. For the density of states at the Fermi level, the calculation gives 9.33 states/eV/f.u. The mass density comes out at 6838 kg/m³.

***

BeTc after structural relaxation, computed with PBE.

a b c (Å): 2.6808 2.6808 7.8187
angles (deg): 90.00 90.00 120.00
Fractional coordinates of all 4 atoms:
Be  0.6667  0.3333  0.7500
Be  0.3333  0.6667  0.2500
Tc  0.0000  0.0000  0.5000
Tc  0.0000  0.0000  0.0000

Results
For the formation energy, the calculation gives 139 meV per atom. The total moment comes out at 0.000 Bohr magnetons per cell. For the density of states at the Fermi level, the calculation gives 1.83 states/eV/f.u. The mass density comes out at 7303 kg/m³.

***

BeTc after structural relaxation, computed with PBE.

a b c (Å): 3.3945 3.3945 4.6982
angles (deg): 90.00 90.00 120.00
Fractional coordinates of all 4 atoms:
Tc  0.6667  0.3333  0.7500
Tc  0.3333  0.6667  0.2500
Be  0.0000  0.0000  0.0000
Be  0.0000  0.0000  0.5000

Results
For the formation energy, the calculation gives 287 meV per atom. The total moment comes out at 0.002 Bohr magnetons per cell. For the density of states at the Fermi level, the calculation gives 2.21 states/eV/f.u. The mass density comes out at 7580 kg/m³.